Computed, not measured: a relaxed CeEuTl crystal at the GGA-PBE level of DFT.

Values from the calculation:
* energy of formation from the pure elements: -0.037 eV per atom
* DOS(E_F): 6.56 states/eV/f.u.
* energy above the lowest structure with this stoichiometry: 0.25 eV per formula unit

Unit cell a=5.4136 b=5.4136 c=3.3590 alpha=90.00 beta=90.00 gamma=120.00
Closest atoms and distances in Å follow each position.
Sites, in units of the cell vectors:
Ce: 0.0000 0.0000 0.0000  3 Eu 3.13, 2 Ce 3.36
Eu: 0.6667 0.3333 0.9967  3 Ce 3.13, 2 Eu 3.36
Tl: 0.3333 0.6667 0.4986  2 Tl 3.36, 6 Eu 3.55, 6 Ce 3.55

***

Computed, not measured: a relaxed CeEu2Tl crystal at the GGA-PBE level of DFT.

Values from the calculation:
* energy of formation from the pure elements: -0.012 eV per atom
* DOS(E_F): 6.90 states/eV/f.u.
* energy above the lowest structure with this stoichiometry: 0.30 eV per formula unit

Unit cell a=5.6245 b=5.6245 c=5.6245 alpha=60.00 beta=60.00 gamma=60.00
Closest atoms and distances in Å follow each position.
Sites, in units of the cell vectors:
Ce: 0.0000 0.0000 0.0000  8 Eu 3.44
Eu: 0.2500 0.2500 0.2500  4 Tl 3.44, 4 Ce 3.44
Eu: 0.7500 0.7500 0.7500  4 Tl 3.44, 4 Ce 3.44
Tl: 0.5000 0.5000 0.5000  8 Eu 3.44

***

Computed, not measured: a relaxed CeEu2Tl crystal at the GGA-PBE level of DFT.

Values from the calculation:
* energy of formation from the pure elements: -0.060 eV per atom
* DOS(E_F): 7.55 states/eV/f.u.
* energy above the lowest structure with this stoichiometry: 0.10 eV per formula unit

Unit cell a=4.0091 b=4.0091 c=8.3346 alpha=90.00 beta=90.00 gamma=90.00
Closest atoms and distances in Å follow each position.
Sites, in units of the cell vectors:
Ce: 0.0000 0.0000 0.0000  8 Eu 3.65, 4 Ce 4.01
Eu: 0.5000 0.5000 0.2755  4 Tl 3.40, 4 Ce 3.65, 1 Eu 3.74
Eu: 0.5000 0.5000 0.7245  4 Tl 3.40, 4 Ce 3.65, 1 Eu 3.74
Tl: 0.0000 0.0000 0.5000  8 Eu 3.40

***

Computed, not measured: a relaxed CeEuTl crystal at the GGA-PBE level of DFT.

Values from the calculation:
* energy of formation from the pure elements: -0.120 eV per atom
* DOS(E_F): 7.36 states/eV/f.u.
* energy above the lowest structure with this stoichiometry: 0.00 eV per formula unit

Unit cell a=7.0941 b=7.0941 c=7.0941 alpha=148.15 beta=148.15 gamma=45.66
Closest atoms and distances in Å follow each position.
Sites, in units of the cell vectors:
Ce: 0.0000 0.0000 0.0000  4 Tl 3.36
Eu: 0.6986 0.6986 0.0000  4 Tl 3.41, 4 Ce 3.78
Tl: 0.3530 0.3530 0.0000  4 Ce 3.36, 4 Eu 3.41

***

Computed, not measured: a relaxed CeEu2Tl crystal at the GGA-PBE level of DFT.

Values from the calculation:
* energy of formation from the pure elements: -0.086 eV per atom
* DOS(E_F): 9.01 states/eV/f.u.
* energy above the lowest structure with this stoichiometry: 0.00 eV per formula unit

Unit cell a=5.0025 b=5.0025 c=5.1061 alpha=90.00 beta=90.00 gamma=90.00
Closest atoms and distances in Å follow each position.
Sites, in units of the cell vectors:
Ce: 0.0000 0.0000 0.0000  4 Tl 3.54, 8 Eu 3.57
Eu: 0.0000 0.5000 0.5000  4 Eu 3.54, 4 Tl 3.57, 4 Ce 3.57
Eu: 0.5000 0.0000 0.5000  4 Eu 3.54, 4 Tl 3.57, 4 Ce 3.57
Tl: 0.5000 0.5000 0.0000  4 Ce 3.54, 8 Eu 3.57

***

Computed, not measured: a relaxed CeEuTl4 crystal at the GGA-PBE level of DFT.

Values from the calculation:
* energy of formation from the pure elements: -0.126 eV per atom
* DOS(E_F): 11.24 states/eV/f.u.

Unit cell a=6.3479 b=6.3479 c=6.3479 alpha=60.00 beta=60.00 gamma=60.00
Closest atoms and distances in Å follow each position.
Sites, in units of the cell vectors:
Ce: 0.0000 0.0000 0.0000  12 Tl 3.72, 4 Eu 3.89
Eu: 0.7500 0.7500 0.7500  12 Tl 3.72, 4 Ce 3.89
Tl: 0.3747 0.3747 0.3747  6 Tl 3.17-3.18
Tl: 0.3747 0.3747 0.8758  6 Tl 3.17-3.18
Tl: 0.3747 0.8758 0.3747  6 Tl 3.17-3.18
Tl: 0.8758 0.3747 0.3747  6 Tl 3.17-3.18

***

The highest energy of formation from the pure elements belongs to which entry? number 2